[1]
Crystalline Ac2CdPd5 at its relaxed geometry. Source: Alexandria via LeMat-Bulk, functional PBE.

Calculated values
Symmetry: I4mm
Density of states at the Fermi level (states/eV per atom): 0.515
Total magnetization (μB per formula unit): 0.0
Uncorrected energy (eV per atom): -5.0422

Cell lengths 6.260, 6.260, 6.260 Å; angles 95.04, 117.13, 117.13 degrees
Positions (direct):
Ac: 0.500 0.248 0.748
Ac: 0.500 0.748 0.248
Cd: 0.000 0.939 0.939
Pd: 0.426 0.719 0.719
Pd: 0.000 0.719 0.293
Pd: 0.000 0.293 0.719
Pd: 0.574 0.293 0.293
Pd: 0.000 0.264 0.264

=====

[2]
Crystalline Rb3Hg5H12 at its relaxed geometry. Source: Alexandria via LeMat-Bulk, functional PBE.

Calculated values
Symmetry: Ia-3d
Density of states at the Fermi level (states/eV per atom): 0.069
Total magnetization (μB per formula unit): 0.0
Uncorrected energy (eV per atom): -2.0692

Cell lengths 11.908, 11.908, 11.908 Å; angles 109.47, 109.47, 109.47 degrees
Positions (direct):
Rb: 0.750 0.375 0.125
Rb: 0.875 0.750 0.125
Rb: 0.375 0.750 0.625
Rb: 0.250 0.125 0.375
Rb: 0.875 0.125 0.250
Rb: 0.375 0.625 0.250
Rb: 0.625 0.375 0.750
Rb: 0.125 0.875 0.750
Rb: 0.750 0.875 0.625
Rb: 0.625 0.250 0.375
Rb: 0.125 0.250 0.875
Rb: 0.250 0.625 0.875
Hg: 0.125 0.375 0.250
Hg: 0.000 0.500 0.000
Hg: 0.000 0.000 0.000
Hg: 0.375 0.250 0.125
Hg: 0.500 0.000 0.500
Hg: 0.500 0.500 0.000
Hg: 0.125 0.750 0.375
Hg: 0.750 0.125 0.875
Hg: 0.750 0.625 0.375
Hg: 0.375 0.125 0.750
Hg: 0.625 0.875 0.250
Hg: 0.500 0.500 0.500
Hg: 0.500 0.000 0.000
Hg: 0.000 0.000 0.500
Hg: 0.250 0.375 0.625
Hg: 0.250 0.875 0.125
Hg: 0.000 0.500 0.500
Hg: 0.875 0.250 0.625
Hg: 0.625 0.750 0.875
Hg: 0.875 0.625 0.750
H: 0.675 0.099 0.990
H: 0.314 0.490 0.390
H: 0.010 0.401 0.325
H: 0.490 0.175 0.099
H: 0.576 0.675 0.686
H: 0.010 0.610 0.186
H: 0.314 0.825 0.424
H: 0.110 0.924 0.099
H: 0.610 0.010 0.686
H: 0.675 0.576 0.186
H: 0.825 0.510 0.401
H: 0.814 0.890 0.990
H: 0.099 0.675 0.490
H: 0.401 0.390 0.076
H: 0.076 0.890 0.401
H: 0.424 0.099 0.610
H: 0.076 0.186 0.175
H: 0.510 0.686 0.110
H: 0.814 0.924 0.325
H: 0.099 0.424 0.110
H: 0.401 0.010 0.825
H: 0.610 0.599 0.424
H: 0.890 0.814 0.490
H: 0.825 0.314 0.924
H: 0.390 0.401 0.576
H: 0.110 0.186 0.510
H: 0.175 0.686 0.076
H: 0.186 0.076 0.675
H: 0.599 0.990 0.175
H: 0.901 0.576 0.890
H: 0.490 0.314 0.890
H: 0.576 0.901 0.390
H: 0.924 0.814 0.825
H: 0.924 0.110 0.599
H: 0.901 0.325 0.510
H: 0.186 0.110 0.010
H: 0.599 0.610 0.924
H: 0.390 0.990 0.314
H: 0.325 0.424 0.814
H: 0.175 0.490 0.599
H: 0.890 0.076 0.901
H: 0.686 0.175 0.576
H: 0.510 0.825 0.901
H: 0.990 0.390 0.814
H: 0.424 0.325 0.314
H: 0.990 0.599 0.675
H: 0.686 0.510 0.610
H: 0.325 0.901 0.010